Crystalline Al2ZnS4 at its relaxed geometry, computed with PBE.

## Properties
ΔE_f (raw)   -1.00 eV/atom

a = 7.3663 Å, b = 26.3623 Å, c = 6.1560 Å
α = 90.00°, β = 90.00°, γ = 90.00°
Space group Pmn2_1 (No. 31)
Symmetry-distinct sites (fractional):
1 Al 0.2490 0.0849 0.9998
2 Al 0.2488 0.1647 0.4995
3 Al 0.2492 0.3348 0.0000
4 Al 0.2492 0.5853 0.9997
5 Zn 0.0000 0.0426 0.4969
6 Zn 0.0000 0.2068 0.9958
7 Zn 0.0000 0.4575 0.9978
8 Zn 0.0000 0.7081 0.9989
9 S 0.0000 0.0406 0.1118
10 S 0.0000 0.2092 0.6110
11 S 0.0000 0.2919 0.1240
12 S 0.0000 0.4582 0.6132
13 S 0.0000 0.5424 0.1246
14 S 0.0000 0.7085 0.6139
15 S 0.0000 0.7932 0.1257
16 S 0.0000 0.9574 0.6251
17 S 0.2390 0.8346 0.6287
18 S 0.2393 0.9157 0.1290
19 S 0.2410 0.3343 0.6291
20 S 0.2409 0.5847 0.6289

Crystalline Al12ZnS19 at its relaxed geometry, computed with PBE.

## Properties
ΔE_f (raw)   -0.89 eV/atom

a = 7.0596 Å, b = 7.0596 Å, c = 27.4559 Å
α = 90.00°, β = 90.00°, γ = 120.00°
Space group P6_3/mmc (No. 194)
Symmetry-distinct sites (fractional):
1 Al 0.0000 0.0000 0.0000
2 Al 0.0000 0.0000 0.2500
3 Al 0.1684 0.3368 0.1107
4 Al 0.3333 0.6667 0.5266
5 Al 0.3333 0.6667 0.6908
6 Zn 0.3333 0.6667 0.2500
7 S 0.0000 0.0000 0.1541
8 S 0.0224 0.5112 0.1562
9 S 0.1555 0.3110 0.5546
10 S 0.1838 0.3677 0.7500
11 S 0.3333 0.6667 0.0563

Crystalline AlZnS2 at its relaxed geometry, computed with PBE.

## Properties
ΔE_f (raw)   -0.56 eV/atom

a = 3.5046 Å, b = 3.5046 Å, c = 22.1225 Å
α = 90.00°, β = 90.00°, γ = 120.00°
Space group R-3m (No. 166, hexagonal axes)
Symmetry-distinct sites (fractional):
1 Al 0.0000 0.0000 0.0000
2 Zn 0.0000 0.0000 0.5000
3 S 0.0000 0.0000 0.3924

Crystalline AlZn3S4 at its relaxed geometry, computed with PBE.

## Properties
ΔE_f (raw)   -0.66 eV/atom

a = 5.5399 Å, b = 5.5399 Å, c = 10.9802 Å
α = 90.00°, β = 90.00°, γ = 90.00°
Space group I-42m (No. 121)
Symmetry-distinct sites (fractional):
1 Al 0.0000 0.0000 0.0000
2 Zn 0.0000 0.0000 0.5000
3 Zn 0.0000 0.5000 0.2500
4 S 0.2407 0.2407 0.8773

Crystalline Al2ZnS4 at its relaxed geometry, computed with PBE.

## Properties
ΔE_f (raw)   -1.02 eV/atom

a = 10.0854 Å, b = 10.0854 Å, c = 10.0854 Å
α = 90.00°, β = 90.00°, γ = 90.00°
Space group Fd-3m (No. 227, origin choice 2)
Symmetry-distinct sites (fractional):
1 Al 0.0000 0.0000 0.0000
2 Zn 0.1250 0.1250 0.6250
3 S 0.0097 0.0097 0.2403

Crystalline Al2Zn2S5 at its relaxed geometry, computed with PBE.

## Properties
ΔE_f (raw)   -0.82 eV/atom

a = 3.6761 Å, b = 3.6761 Å, c = 48.2701 Å
α = 90.00°, β = 90.00°, γ = 120.00°
Space group R-3m (No. 166, hexagonal axes)
Symmetry-distinct sites (fractional):
1 Al 0.0000 0.0000 0.2308
2 Zn 0.0000 0.0000 0.3642
3 S 0.0000 0.0000 0.0000
4 S 0.0000 0.0000 0.1229
5 S 0.0000 0.0000 0.2760

Crystalline Al2ZnS4 at its relaxed geometry, computed with PBE.

## Properties
ΔE_f (raw)   -0.90 eV/atom

a = 3.6865 Å, b = 3.6865 Å, c = 24.1059 Å
α = 90.00°, β = 90.00°, γ = 120.00°
Space group P6_3mc (No. 186)
Symmetry-distinct sites (fractional):
1 Al 0.3333 0.6667 0.0000
2 Al 0.3333 0.6667 0.3487
3 Zn 0.0000 0.0000 0.1923
4 S 0.0000 0.0000 0.0369
5 S 0.0000 0.0000 0.3018
6 S 0.3333 0.6667 0.1627
7 S 0.3333 0.6667 0.9070

Crystalline Al2ZnS4 at its relaxed geometry, computed with PBE.

## Properties
ΔE_f (raw)   -0.91 eV/atom

a = 3.6856 Å, b = 3.6856 Å, c = 12.0434 Å
α = 90.00°, β = 90.00°, γ = 120.00°
Space group P3m1 (No. 156)
Symmetry-distinct sites (fractional):
1 Al 0.0000 0.0000 0.0000
2 Al 0.3333 0.6667 0.3029
3 Zn 0.6667 0.3333 0.6881
4 S 0.3333 0.6667 0.1166
5 S 0.3333 0.6667 0.6285
6 S 0.6667 0.3333 0.3768
7 S 0.6667 0.3333 0.9058

Crystalline Al2ZnS4 at its relaxed geometry, computed with PBE.

## Properties
ΔE_f (raw)   -1.00 eV/atom

a = 5.2017 Å, b = 5.2017 Å, c = 5.4384 Å
α = 90.00°, β = 90.00°, γ = 90.00°
Space group P-42m (No. 111)
Symmetry-distinct sites (fractional):
1 Al 0.0000 0.5000 0.0000
2 Zn 0.0000 0.0000 0.5000
3 S 0.2619 0.2619 0.7511

Crystalline Al3ZnS at its relaxed geometry, computed with PBE.

## Properties
ΔE_f (raw)   0.48 eV/atom
Polymorph energy (0 for the lowest one)   102 meV per atom

a = 4.7176 Å, b = 4.7176 Å, c = 4.7176 Å
α = 90.00°, β = 90.00°, γ = 90.00°
Space group Pm-3m (No. 221)
Symmetry-distinct sites (fractional):
1 Al 0.0000 0.0000 0.5000
2 Zn 0.5000 0.5000 0.5000
3 S 0.0000 0.0000 0.0000

Crystalline Al5ZnS8 at its relaxed geometry, computed with PBE.

## Properties
ΔE_f (raw)   -0.96 eV/atom

a = 10.0852 Å, b = 10.0852 Å, c = 10.0852 Å
α = 90.00°, β = 90.00°, γ = 90.00°
Space group F-43m (No. 216)
Symmetry-distinct sites (fractional):
1 Al 0.0000 0.0000 0.0000
2 Al 0.1223 0.1223 0.3777
3 Zn 0.2500 0.2500 0.7500
4 S 0.1163 0.1163 0.6163
5 S 0.1326 0.1326 0.1326

Crystalline Al2ZnS4 at its relaxed geometry, computed with PBE.

## Properties
ΔE_f (raw)   -0.93 eV/atom

a = 12.4197 Å, b = 7.2329 Å, c = 5.9117 Å
α = 90.00°, β = 90.00°, γ = 90.00°
Space group Pnma (No. 62)
Symmetry-distinct sites (fractional):
1 Al 0.0000 0.0000 0.0000
2 Al 0.0867 0.2500 0.4115
3 Zn 0.2303 0.7500 0.4900
4 S 0.0757 0.7500 0.7662
5 S 0.0870 0.2500 0.7923
6 S 0.1608 0.0037 0.2391